# 1
VASP calculation (GGA-PBE) on crystalline K4NiP2 at its relaxed geometry.

Unit cell a=6.324 b=6.324 c=14.507 alpha=90.00 beta=90.00 gamma=90.00
Element x y z (fractional)
1 K 0.000 0.000 0.215
2 K 0.000 0.000 0.785
3 K 0.000 0.500 0.000
4 K 0.000 0.500 0.500
5 K 0.500 0.000 0.000
6 K 0.500 0.000 0.500
7 K 0.500 0.500 0.285
8 K 0.500 0.500 0.715
9 Ni 0.000 0.000 0.000
10 Ni 0.500 0.500 0.500
11 P 0.000 0.000 0.428
12 P 0.000 0.000 0.572
13 P 0.500 0.500 0.072
14 P 0.500 0.500 0.928

Values from the calculation:
DOS at the Fermi energy = 22.16 states/eV per cell
ΔE_f = 0.23 eV/atom
Mass density = 1586 kg/m³
Volume = 41.444 A^3/atom

# 2
VASP calculation (GGA-PBE) on crystalline KNiP2 at its relaxed geometry.

Unit cell a=7.248 b=3.826 c=6.364 alpha=90.00 beta=103.04 gamma=90.00
Element x y z (fractional)
1 K 0.000 0.000 0.000
2 K 0.500 0.500 0.000
3 Ni 0.279 0.000 0.556
4 Ni 0.779 0.500 0.556
5 P 0.097 0.500 0.614
6 P 0.263 0.500 0.376
7 P 0.597 0.000 0.614
8 P 0.763 0.000 0.376

Values from the calculation:
DOS at the Fermi energy = 1.18 states/eV per cell
Energy above the lowest structure with this stoichiometry = 0.17 eV per formula unit
ΔE_f = -0.32 eV/atom
Mass density = 3085 kg/m³
Volume = 21.494 A^3/atom

# 3
VASP calculation (GGA-PBE) on crystalline KNiP3 at its relaxed geometry.

Unit cell a=4.606 b=4.606 c=4.606 alpha=90.00 beta=90.00 gamma=90.00
Element x y z (fractional)
1 K 0.000 0.000 0.000
2 Ni 0.500 0.500 0.500
3 P 0.000 0.500 0.500
4 P 0.500 0.000 0.500
5 P 0.500 0.500 0.000

Values from the calculation:
DOS at the Fermi energy = 6.10 states/eV per cell
Energy above the lowest structure with this stoichiometry = 0.00 eV per formula unit
ΔE_f = 0.38 eV/atom
Mass density = 3240 kg/m³
Volume = 19.548 A^3/atom

# 4
VASP calculation (GGA-PBE) on crystalline KNiP2 at its relaxed geometry.

Unit cell a=6.886 b=3.425 c=6.690 alpha=90.00 beta=103.01 gamma=90.00
Element x y z (fractional)
1 K 0.000 0.000 0.000
2 K 0.500 0.500 0.000
3 Ni 0.000 0.500 0.500
4 Ni 0.500 0.000 0.500
5 P 0.222 0.000 0.629
6 P 0.278 0.500 0.371
7 P 0.722 0.500 0.629
8 P 0.778 0.000 0.371

Values from the calculation:
DOS at the Fermi energy = 2.39 states/eV per cell
Energy above the lowest structure with this stoichiometry = 0.13 eV per formula unit
ΔE_f = -0.33 eV/atom
Mass density = 3451 kg/m³
Volume = 19.218 A^3/atom

# 5
VASP calculation (GGA-PBE) on crystalline K2NiP at its relaxed geometry.

Unit cell a=3.036 b=3.036 c=9.993 alpha=90.00 beta=90.00 gamma=90.00
Element x y z (fractional)
1 K 0.000 0.000 0.241
2 K 0.000 0.000 0.759
3 Ni 0.500 0.500 0.500
4 P 0.500 0.500 0.000

Values from the calculation:
DOS at the Fermi energy = 4.71 states/eV per cell
ΔE_f = 0.57 eV/atom
Mass density = 3026 kg/m³
Volume = 23.031 A^3/atom

# 6
VASP calculation (GGA-PBE) on crystalline KNiP2 at its relaxed geometry.

Unit cell a=3.856 b=6.367 c=7.947 alpha=90.00 beta=90.00 gamma=90.00
Element x y z (fractional)
1 K 0.000 0.000 0.000
2 K 0.500 0.500 0.500
3 Ni 0.000 0.500 0.118
4 Ni 0.500 0.000 0.618
5 P 0.000 0.000 0.498
6 P 0.000 0.500 0.844
7 P 0.500 0.000 0.344
8 P 0.500 0.500 0.998

Values from the calculation:
DOS at the Fermi energy = 3.76 states/eV per cell
Energy above the lowest structure with this stoichiometry = 2.14 eV per formula unit
ΔE_f = 0.17 eV/atom
Mass density = 2719 kg/m³
Volume = 24.390 A^3/atom

# 7
VASP calculation (GGA-PBE) on crystalline K3NiP at its relaxed geometry.

Unit cell a=5.908 b=5.908 c=5.908 alpha=90.00 beta=90.00 gamma=90.00
Element x y z (fractional)
1 K 0.000 0.000 0.500
2 K 0.000 0.500 0.000
3 K 0.500 0.000 0.000
4 Ni 0.000 0.000 0.000
5 P 0.500 0.500 0.500

Values from the calculation:
DOS at the Fermi energy = 10.29 states/eV per cell
ΔE_f = 0.69 eV/atom
Mass density = 1667 kg/m³
Volume = 41.237 A^3/atom

# 8
VASP calculation (GGA-PBE) on crystalline KNiP2 at its relaxed geometry.

Unit cell a=3.786 b=3.778 c=6.095 alpha=90.00 beta=102.41 gamma=90.00
Element x y z (fractional)
1 K 0.000 0.000 0.000
2 Ni 0.500 0.000 0.500
3 P 0.281 0.500 0.614
4 P 0.719 0.500 0.386

Values from the calculation:
DOS at the Fermi energy = 1.31 states/eV per cell
Energy above the lowest structure with this stoichiometry = 0.00 eV per formula unit
ΔE_f = -0.36 eV/atom
Mass density = 3115 kg/m³
Volume = 21.289 A^3/atom

# 9
VASP calculation (GGA-PBE) on crystalline KNiP2 at its relaxed geometry.

Unit cell a=5.633 b=9.068 c=2.659 alpha=90.00 beta=90.16 gamma=90.00
Element x y z (fractional)
1 K 0.000 0.000 0.000
2 K 0.500 0.500 0.000
3 Ni 0.000 0.500 0.000
4 Ni 0.500 0.000 0.000
5 P 0.250 0.250 0.500
6 P 0.250 0.750 0.500
7 P 0.750 0.250 0.500
8 P 0.750 0.750 0.500

Values from the calculation:
DOS at the Fermi energy = 6.19 states/eV per cell
Energy above the lowest structure with this stoichiometry = 3.88 eV per formula unit
ΔE_f = 0.61 eV/atom
Mass density = 3906 kg/m³
Volume = 16.978 A^3/atom

# 10
VASP calculation (GGA-PBE) on crystalline KNiP2 at its relaxed geometry.

Unit cell a=6.521 b=6.521 c=6.521 alpha=90.00 beta=90.00 gamma=90.00
Element x y z (fractional)
1 K 0.000 0.000 0.000
2 K 0.000 0.500 0.500
3 K 0.500 0.000 0.500
4 K 0.500 0.500 0.000
5 Ni 0.000 0.000 0.500
6 Ni 0.000 0.500 0.000
7 Ni 0.500 0.000 0.000
8 Ni 0.500 0.500 0.500
9 P 0.250 0.250 0.250
10 P 0.250 0.250 0.750
11 P 0.250 0.750 0.250
12 P 0.250 0.750 0.750
13 P 0.750 0.250 0.250
14 P 0.750 0.250 0.750
15 P 0.750 0.750 0.250
16 P 0.750 0.750 0.750

Values from the calculation:
DOS at the Fermi energy = 11.38 states/eV per cell
Energy above the lowest structure with this stoichiometry = 3.98 eV per formula unit
ΔE_f = 0.63 eV/atom
Mass density = 3826 kg/m³
Volume = 17.334 A^3/atom

# 11
VASP calculation (GGA-PBE) on crystalline KNiP2 at its relaxed geometry.

Unit cell a=4.039 b=4.039 c=4.267 alpha=90.00 beta=90.00 gamma=90.00
Element x y z (fractional)
1 K 0.000 0.000 0.000
2 Ni 0.500 0.500 0.000
3 P 0.000 0.500 0.500
4 P 0.500 0.000 0.500

Values from the calculation:
DOS at the Fermi energy = 1.34 states/eV per cell
Energy above the lowest structure with this stoichiometry = 4.20 eV per formula unit
ΔE_f = 0.69 eV/atom
Mass density = 3810 kg/m³
Volume = 17.403 A^3/atom

# 12
VASP calculation (GGA-PBE) on crystalline KNi2P at its relaxed geometry.

Unit cell a=2.881 b=3.612 c=7.157 alpha=90.00 beta=101.43 gamma=90.00
Element x y z (fractional)
1 K 0.000 0.000 0.000
2 Ni 0.313 0.500 0.642
3 Ni 0.687 0.500 0.358
4 P 0.500 0.000 0.500

Values from the calculation:
DOS at the Fermi energy = 2.44 states/eV per cell
ΔE_f = 0.15 eV/atom
Mass density = 4263 kg/m³
Volume = 18.256 A^3/atom

# 13
VASP calculation (GGA-PBE) on crystalline KNi3P at its relaxed geometry.

Unit cell a=4.454 b=4.454 c=4.454 alpha=90.00 beta=90.00 gamma=90.00
Element x y z (fractional)
1 K 0.000 0.000 0.000
2 Ni 0.000 0.000 0.500
3 Ni 0.000 0.500 0.000
4 Ni 0.500 0.000 0.000
5 P 0.500 0.500 0.500

Values from the calculation:
DOS at the Fermi energy = 6.78 states/eV per cell
Energy above the lowest structure with this stoichiometry = 10.14 eV per formula unit
ΔE_f = 2.16 eV/atom
Mass density = 4626 kg/m³
Volume = 17.671 A^3/atom

# 14
VASP calculation (GGA-PBE) on crystalline K2NiP at its relaxed geometry.

Unit cell a=3.905 b=3.905 c=28.127 alpha=90.00 beta=90.00 gamma=120.00
Element x y z (fractional)
1 K 0.000 0.000 0.000
2 K 0.000 0.000 0.172
3 K 0.333 0.667 0.667
4 K 0.333 0.667 0.839
5 K 0.667 0.333 0.333
6 K 0.667 0.333 0.505
7 Ni 0.000 0.000 0.753
8 Ni 0.333 0.667 0.419
9 Ni 0.667 0.333 0.086
10 P 0.000 0.000 0.419
11 P 0.333 0.667 0.086
12 P 0.667 0.333 0.753

Values from the calculation:
DOS at the Fermi energy = 10.87 states/eV per cell
ΔE_f = -0.21 eV/atom
Mass density = 2251 kg/m³
Volume = 30.956 A^3/atom

# 15
VASP calculation (GGA-PBE) on crystalline KNi2P2 at its relaxed geometry.

Unit cell a=7.799 b=7.799 c=2.768 alpha=90.00 beta=90.00 gamma=90.00
Element x y z (fractional)
1 K 0.000 0.000 0.000
2 K 0.500 0.500 0.000
3 Ni 0.113 0.387 0.500
4 Ni 0.387 0.887 0.500
5 Ni 0.613 0.113 0.500
6 Ni 0.887 0.613 0.500
7 P 0.126 0.626 0.000
8 P 0.374 0.126 0.000
9 P 0.626 0.874 0.000
10 P 0.874 0.374 0.000

Values from the calculation:
DOS at the Fermi energy = 5.56 states/eV per cell
ΔE_f = -0.04 eV/atom
Mass density = 4309 kg/m³
Volume = 16.837 A^3/atom

# 16
VASP calculation (GGA-PBE) on crystalline K2NiP2 at its relaxed geometry.

Unit cell a=4.110 b=4.110 c=13.230 alpha=90.00 beta=90.00 gamma=90.00
Element x y z (fractional)
1 K 0.000 0.500 0.250
2 K 0.000 0.500 0.750
3 K 0.500 0.000 0.250
4 K 0.500 0.000 0.750
5 Ni 0.000 0.000 0.000
6 Ni 0.500 0.500 0.500
7 P 0.000 0.000 0.423
8 P 0.000 0.000 0.577
9 P 0.500 0.500 0.077
10 P 0.500 0.500 0.923

Values from the calculation:
DOS at the Fermi energy = 3.75 states/eV per cell
Energy above the lowest structure with this stoichiometry = 5.34 eV per formula unit
ΔE_f = 0.60 eV/atom
Mass density = 2955 kg/m³
Volume = 22.345 A^3/atom

# 17
VASP calculation (GGA-PBE) on crystalline KNi2P at its relaxed geometry.

Unit cell a=2.704 b=5.337 c=9.638 alpha=90.00 beta=90.00 gamma=90.00
Element x y z (fractional)
1 K 0.000 0.000 0.000
2 K 0.500 0.500 0.500
3 Ni 0.000 0.000 0.531
4 Ni 0.000 0.500 0.815
5 Ni 0.500 0.000 0.315
6 Ni 0.500 0.500 0.031
7 P 0.000 0.500 0.209
8 P 0.500 0.000 0.709

Values from the calculation:
DOS at the Fermi energy = 5.77 states/eV per cell
ΔE_f = 0.36 eV/atom
Mass density = 4476 kg/m³
Volume = 17.386 A^3/atom

# 18
VASP calculation (GGA-PBE) on crystalline K2NiP at its relaxed geometry.

Unit cell a=4.161 b=5.763 c=9.702 alpha=90.00 beta=90.00 gamma=90.00
Element x y z (fractional)
1 K 0.000 0.000 0.000
2 K 0.000 0.500 0.179
3 K 0.500 0.000 0.679
4 K 0.500 0.500 0.500
5 Ni 0.000 0.500 0.836
6 Ni 0.500 0.000 0.336
7 P 0.000 0.000 0.352
8 P 0.500 0.500 0.852

Values from the calculation:
DOS at the Fermi energy = 2.06 states/eV per cell
ΔE_f = -0.25 eV/atom
Mass density = 2396 kg/m³
Volume = 29.080 A^3/atom

# 19
VASP calculation (GGA-PBE) on crystalline KNiP2 at its relaxed geometry.

Unit cell a=6.566 b=6.566 c=6.566 alpha=90.00 beta=90.00 gamma=90.00
Element x y z (fractional)
1 K 0.000 0.000 0.000
2 K 0.000 0.500 0.500
3 K 0.500 0.000 0.500
4 K 0.500 0.500 0.000
5 Ni 0.250 0.250 0.250
6 Ni 0.250 0.750 0.750
7 Ni 0.750 0.250 0.750
8 Ni 0.750 0.750 0.250
9 P 0.000 0.000 0.500
10 P 0.000 0.500 0.000
11 P 0.250 0.250 0.750
12 P 0.250 0.750 0.250
13 P 0.500 0.000 0.000
14 P 0.500 0.500 0.500
15 P 0.750 0.250 0.250
16 P 0.750 0.750 0.750

Values from the calculation:
DOS at the Fermi energy = 7.49 states/eV per cell
Energy above the lowest structure with this stoichiometry = 4.59 eV per formula unit
ΔE_f = 0.79 eV/atom
Mass density = 3749 kg/m³
Volume = 17.690 A^3/atom

# 20
VASP calculation (GGA-PBE) on crystalline KNi2P at its relaxed geometry.

Unit cell a=6.058 b=8.240 c=2.719 alpha=90.00 beta=115.56 gamma=90.00
Element x y z (fractional)
1 K 0.000 0.000 0.000
2 K 0.500 0.500 0.000
3 Ni 0.250 0.250 0.000
4 Ni 0.250 0.750 0.000
5 Ni 0.750 0.250 0.000
6 Ni 0.750 0.750 0.000
7 P 0.000 0.500 0.000
8 P 0.500 0.000 0.000

Values from the calculation:
DOS at the Fermi energy = 6.02 states/eV per cell
ΔE_f = 0.71 eV/atom
Mass density = 5085 kg/m³
Volume = 15.305 A^3/atom